(1)
VASP calculation (PBE-GGA) on a relaxed structure of Sr2TaRe.

Cell and atoms, written as POSCAR:
```
Sr2TaRe
1.0
4.6159 0.7707 2.3602
0.1663 1.2356 5.0909
1.7753 -3.4876 3.4866
Sr Ta Re
2 1 1
direct
0.7500 0.7500 0.7500
0.2500 0.2500 0.2500
0.0000 0.0000 0.0000
0.5000 0.5000 0.5000
```

**Total DFT energy (no corrections)**: -20.62 eV/cell
**Distance to the lowest polymorph of the same formula**: 1354 meV per atom
**ΔH_f (0 K)**: 1760 meV/atom
**N(E_F)**: 3.012 states/eV/atom


(2)
VASP calculation (PBE-GGA) on a relaxed structure of Sr2TaRe.

Cell and atoms, written as POSCAR:
```
Sr2TaRe
1.0
3.4885 0.0000 0.0000
0.0000 3.4885 0.0000
0.0000 0.0000 9.7014
Sr Re Ta
2 1 1
direct
0.5000 0.5000 0.3142
0.0000 0.0000 0.9235
0.5000 0.5000 0.6819
0.0000 0.0000 0.5803
```

**Total DFT energy (no corrections)**: -26.04 eV/cell
**Distance to the lowest polymorph of the same formula**: 0 meV per atom
**ΔH_f (0 K)**: 406 meV/atom
**N(E_F)**: 0.766 states/eV/atom


(3)
VASP calculation (PBE-GGA) on a relaxed structure of Sr3TaRe.

Cell and atoms, written as POSCAR:
```
Sr3TaRe
1.0
-1.4677 4.7851 -2.6099
-4.9312 -2.3172 -1.4755
-2.3222 1.8964 4.7827
Sr Ta Re
3 1 1
direct
0.0000 0.5000 0.0000
0.5000 0.0000 0.0000
0.0000 0.0000 0.5000
0.5000 0.5000 0.5000
0.0000 0.0000 0.0000
```

**Total DFT energy (no corrections)**: -20.12 eV/cell
**Distance to the lowest polymorph of the same formula**: 0 meV per atom
**ΔH_f (0 K)**: 1845 meV/atom
**N(E_F)**: 2.713 states/eV/atom


(4)
VASP calculation (PBE-GGA) on a relaxed structure of Sr2TaTiRe.

Cell and atoms, written as POSCAR:
```
Sr2TaTiRe
1.0
5.6634 0.0000 0.0000
0.0000 4.6797 0.0000
0.0000 0.0000 5.6634
Ta Sr Re Ti
1 2 1 1
direct
0.0000 0.5000 0.0000
0.5000 0.0000 0.0000
0.0000 0.0000 0.5000
0.5000 0.5000 0.5000
0.0000 0.0000 0.0000
```

**Total DFT energy (no corrections)**: -25.67 eV/cell
**ΔH_f (0 K)**: 1979 meV/atom
**N(E_F)**: 1.157 states/eV/atom


(5)
VASP calculation (PBE-GGA) on a relaxed structure of Sr2ZrTaRe.

Cell and atoms, written as POSCAR:
```
Sr2ZrTaRe
1.0
-0.2904 -0.4868 5.9526
-0.0498 -4.6721 -0.3845
5.9721 -0.0870 0.2843
Zr Re Sr Ta
1 1 2 1
direct
0.0000 0.0000 0.0000
0.0000 0.5000 0.0000
0.0000 0.0000 0.5000
0.5000 0.0000 0.0000
0.5000 0.5000 0.5000
```

**Total DFT energy (no corrections)**: -26.33 eV/cell
**ΔH_f (0 K)**: 1977 meV/atom
**N(E_F)**: 0.837 states/eV/atom


(6)
VASP calculation (PBE-GGA) on a relaxed structure of SrReTc2.

Cell and atoms, written as POSCAR:
```
SrReTc2
1.0
-7.2835 -0.5979 1.6580
0.8154 -7.3926 0.9163
-2.5992 -3.5602 4.2327
Sr Tc Re
2 4 2
direct
0.5000 0.5000 0.0000
0.2500 0.7500 0.5000
0.8750 0.9440 0.7500
0.6940 0.1250 0.2500
0.3750 0.3060 0.7500
0.0560 0.6250 0.2500
0.7500 0.2500 0.5000
0.0000 0.0000 0.0000
```

**Total DFT energy (no corrections)**: -61.90 eV/cell
**Distance to the lowest polymorph of the same formula**: 409 meV per atom
**ΔH_f (0 K)**: 977 meV/atom
**N(E_F)**: 1.564 states/eV/atom


(7)
VASP calculation (PBE-GGA) on a relaxed structure of SrReTc2.

Cell and atoms, written as POSCAR:
```
SrReTc2
1.0
-0.2439 1.0446 3.0166
-0.1670 -3.0253 1.0344
7.6362 -0.1881 0.6825
Tc Re Sr
2 1 1
direct
0.0000 0.0000 0.4258
0.0000 0.0000 0.0742
0.5000 0.5000 0.2500
0.5000 0.5000 0.7500
```

**Total DFT energy (no corrections)**: -32.59 eV/cell
**Distance to the lowest polymorph of the same formula**: 0 meV per atom
**ΔH_f (0 K)**: 569 meV/atom
**N(E_F)**: 1.004 states/eV/atom


(8)
VASP calculation (PBE-GGA) on a relaxed structure of SrReTc.

Cell and atoms, written as POSCAR:
```
SrReTc
1.0
-3.4082 0.6839 -5.6213
-3.8134 -3.5546 -4.0628
1.7778 2.0466 6.0278
Sr Re Tc
1 1 1
direct
0.6657 0.6657 0.0000
0.9631 0.9631 0.0000
0.3712 0.3712 0.0000
```

**Total DFT energy (no corrections)**: -22.89 eV/cell
**Distance to the lowest polymorph of the same formula**: 0 meV per atom
**ΔH_f (0 K)**: 536 meV/atom
**N(E_F)**: 0.962 states/eV/atom


(9)
VASP calculation (PBE-GGA) on a relaxed structure of SrReTc2.

Cell and atoms, written as POSCAR:
```
SrReTc2
1.0
-0.1433 -3.4423 3.0579
3.1583 -0.2427 3.3446
-1.1995 0.8464 4.3664
Re Sr Tc
1 1 2
direct
0.5000 0.5000 0.5000
0.2500 0.2500 0.2500
0.0000 0.0000 0.0000
0.7500 0.7500 0.7500
```

**Total DFT energy (no corrections)**: -30.91 eV/cell
**Distance to the lowest polymorph of the same formula**: 419 meV per atom
**ΔH_f (0 K)**: 988 meV/atom
**N(E_F)**: 0.635 states/eV/atom


(10)
VASP calculation (PBE-GGA) on a relaxed structure of SrReTc.

Cell and atoms, written as POSCAR:
```
SrReTc
1.0
-1.6552 -0.2736 2.5150
1.2823 -2.4415 -1.2387
6.0319 1.0935 4.0888
Sr Re Tc
1 1 1
direct
0.3333 0.6667 0.3333
0.0000 0.0000 0.9610
0.6667 0.3333 0.7057
```

**Total DFT energy (no corrections)**: -21.68 eV/cell
**Distance to the lowest polymorph of the same formula**: 402 meV per atom
**ΔH_f (0 K)**: 938 meV/atom
**N(E_F)**: 0.962 states/eV/atom


(11)
VASP calculation (PBE-GGA) on a relaxed structure of SrReTc2.

Cell and atoms, written as POSCAR:
```
SrReTc2
1.0
3.6412 0.0000 0.0000
0.0000 2.9110 0.0067
0.0000 2.8936 7.5301
Sr Tc Re
1 2 1
direct
0.5000 0.7348 0.7494
0.0000 0.9076 0.0785
0.5000 0.2922 0.2526
0.0000 0.5654 0.4196
```

**Total DFT energy (no corrections)**: -32.27 eV/cell
**Distance to the lowest polymorph of the same formula**: 78 meV per atom
**ΔH_f (0 K)**: 647 meV/atom
**N(E_F)**: 1.071 states/eV/atom


(12)
VASP calculation (PBE-GGA) on a relaxed structure of SrReTc.

Cell and atoms, written as POSCAR:
```
SrReTc
1.0
7.8244 0.0046 -0.0034
7.1023 2.7834 -0.0186
0.7220 -0.8882 2.6330
Tc Re Sr
1 1 1
direct
0.6496 0.6496 0.3504
0.0177 0.0177 0.9823
0.3327 0.3327 0.6673
```

**Total DFT energy (no corrections)**: -21.61 eV/cell
**Distance to the lowest polymorph of the same formula**: 424 meV per atom
**ΔH_f (0 K)**: 960 meV/atom
**N(E_F)**: 1.228 states/eV/atom


(13)
VASP calculation (PBE-GGA) on a relaxed structure of SrReTc2.

Cell and atoms, written as POSCAR:
```
SrReTc2
1.0
-3.7131 -2.2865 2.2484
-1.3209 -4.2007 2.1631
1.0423 1.0459 5.7609
Re Tc Sr
1 2 1
direct
0.7500 0.7500 0.7500
0.0348 0.0348 0.9038
0.4652 0.4652 0.5962
0.2500 0.2500 0.2500
```

**Total DFT energy (no corrections)**: -32.34 eV/cell
**Distance to the lowest polymorph of the same formula**: 61 meV per atom
**ΔH_f (0 K)**: 630 meV/atom
**N(E_F)**: 0.726 states/eV/atom


(14)
VASP calculation (PBE-GGA) on a relaxed structure of SrReTc.

Cell and atoms, written as POSCAR:
```
SrReTc
1.0
4.5201 0.0000 0.0000
2.2600 3.9145 0.0000
2.2600 1.3048 3.6906
Sr Tc Re
1 1 1
direct
0.5000 0.5000 0.5000
0.7500 0.7500 0.7500
0.0000 0.0000 0.0000
```

**Total DFT energy (no corrections)**: -20.83 eV/cell
**Distance to the lowest polymorph of the same formula**: 686 meV per atom
**ΔH_f (0 K)**: 1222 meV/atom
**N(E_F)**: 1.087 states/eV/atom


(15)
VASP calculation (PBE-GGA) on a relaxed structure of SrRe4Tc.

Cell and atoms, written as POSCAR:
```
SrRe4Tc
1.0
0.0000 3.7589 3.7589
3.7589 0.0000 3.7589
3.7589 3.7589 0.0000
Re Tc Sr
4 1 1
direct
0.3752 0.8744 0.3752
0.3752 0.3752 0.3752
0.8744 0.3752 0.3752
0.3752 0.3752 0.8744
0.0000 0.0000 0.0000
0.7500 0.7500 0.7500
```

**Total DFT energy (no corrections)**: -57.97 eV/cell
**ΔH_f (0 K)**: 646 meV/atom
**N(E_F)**: 0.958 states/eV/atom


(16)
VASP calculation (PBE-GGA) on a relaxed structure of SrReTc2.

Cell and atoms, written as POSCAR:
```
SrReTc2
1.0
-4.7794 -2.0688 -2.1906
-2.7579 -3.6757 3.2869
1.9165 5.2544 -0.7999
Tc Sr Re
2 1 1
direct
0.5396 0.5396 0.0000
0.9604 0.9604 0.0000
0.2500 0.7500 0.5000
0.7500 0.2500 0.5000
```

**Total DFT energy (no corrections)**: -31.57 eV/cell
**Distance to the lowest polymorph of the same formula**: 253 meV per atom
**ΔH_f (0 K)**: 822 meV/atom
**N(E_F)**: 0.736 states/eV/atom


(17)
VASP calculation (PBE-GGA) on a relaxed structure of SrReTc2.

Cell and atoms, written as POSCAR:
```
SrReTc2
1.0
-0.5642 2.4444 1.8587
-4.2978 -1.7239 0.9626
1.7799 -2.3846 3.6763
Tc Re Sr
2 1 1
direct
0.0000 0.0000 0.0000
0.0000 0.5000 0.5000
0.5000 0.5000 0.0000
0.5000 0.0000 0.5000
```

**Total DFT energy (no corrections)**: -30.77 eV/cell
**Distance to the lowest polymorph of the same formula**: 454 meV per atom
**ΔH_f (0 K)**: 1023 meV/atom
**N(E_F)**: 1.304 states/eV/atom


(18)
VASP calculation (PBE-GGA) on a relaxed structure of SrReTc2.

Cell and atoms, written as POSCAR:
```
SrReTc2
1.0
5.3238 -0.1744 0.0000
-1.4744 5.1185 0.0000
0.0000 0.0000 2.6414
Tc Re Sr
2 1 1
direct
0.0000 0.0000 0.0000
0.5000 0.5000 0.0000
0.5000 0.0000 0.5000
0.0000 0.5000 0.5000
```

**Total DFT energy (no corrections)**: -30.45 eV/cell
**Distance to the lowest polymorph of the same formula**: 535 meV per atom
**ΔH_f (0 K)**: 1104 meV/atom
**N(E_F)**: 1.413 states/eV/atom


(19)
VASP calculation (PBE-GGA) on a relaxed structure of SrReTc3.

Cell and atoms, written as POSCAR:
```
SrReTc3
1.0
4.8060 0.0000 0.0000
0.0000 4.8060 0.0000
0.0000 0.0000 4.8060
Tc Sr Re
3 1 1
direct
0.5000 0.0000 0.0000
0.0000 0.5000 0.0000
0.0000 0.0000 0.5000
0.5000 0.5000 0.5000
0.0000 0.0000 0.0000
```

**Total DFT energy (no corrections)**: -39.43 eV/cell
**Distance to the lowest polymorph of the same formula**: 0 meV per atom
**ΔH_f (0 K)**: 1159 meV/atom
**N(E_F)**: 1.530 states/eV/atom


(20)
VASP calculation (PBE-GGA) on a relaxed structure of SrReTc2.

Cell and atoms, written as POSCAR:
```
SrReTc2
1.0
-1.2884 -1.4395 -4.6401
-3.5597 -2.2760 -2.7222
-3.2697 4.4068 -1.9505
Tc Sr Re
2 1 1
direct
0.7512 0.7512 0.7422
0.0348 0.0348 0.9018
0.2500 0.2500 0.2456
0.4639 0.4639 0.6104
```

**Total DFT energy (no corrections)**: -32.11 eV/cell
**Distance to the lowest polymorph of the same formula**: 118 meV per atom
**ΔH_f (0 K)**: 687 meV/atom
**N(E_F)**: 0.962 states/eV/atom


(21)
VASP calculation (PBE-GGA) on a relaxed structure of SrReTc2.

Cell and atoms, written as POSCAR:
```
SrReTc2
1.0
-2.1891 7.5589 6.2846
-4.2433 5.7378 7.1062
-1.6213 5.5490 8.2465
Sr Tc Re
1 2 1
direct
0.2500 0.2500 0.2500
0.4883 0.4883 0.4883
0.0117 0.0117 0.0117
0.7500 0.7500 0.7500
```

**Total DFT energy (no corrections)**: -31.79 eV/cell
**Distance to the lowest polymorph of the same formula**: 199 meV per atom
**ΔH_f (0 K)**: 768 meV/atom
**N(E_F)**: 0.639 states/eV/atom


(22)
VASP calculation (PBE-GGA) on a relaxed structure of SrReTc2.

Cell and atoms, written as POSCAR:
```
SrReTc2
1.0
3.1260 0.0000 0.0000
0.0000 4.9377 0.0000
0.0000 0.0000 4.5727
Re Sr Tc
1 1 2
direct
0.5000 0.0000 0.5000
0.0000 0.5000 0.5000
0.0000 0.0000 0.0000
0.5000 0.5000 0.0000
```

**Total DFT energy (no corrections)**: -30.20 eV/cell
**Distance to the lowest polymorph of the same formula**: 597 meV per atom
**ΔH_f (0 K)**: 1165 meV/atom
**N(E_F)**: 1.276 states/eV/atom


(23)
VASP calculation (PBE-GGA) on a relaxed structure of SrReTc2.

Cell and atoms, written as POSCAR:
```
SrReTc2
1.0
0.0000 3.2553 3.2553
3.2553 0.0000 3.2553
3.2553 3.2553 0.0000
Sr Re Tc
1 1 2
direct
0.0000 0.0000 0.0000
0.5000 0.5000 0.5000
0.7500 0.7500 0.7500
0.2500 0.2500 0.2500
```

**Total DFT energy (no corrections)**: -31.51 eV/cell
**Distance to the lowest polymorph of the same formula**: 270 meV per atom
**ΔH_f (0 K)**: 838 meV/atom
**N(E_F)**: 0.772 states/eV/atom


(24)
VASP calculation (PBE-GGA) on a relaxed structure of SrReTc2.

Cell and atoms, written as POSCAR:
```
SrReTc2
1.0
5.6746 -0.0289 0.0071
2.6704 5.0071 -0.0071
-3.4718 -3.6637 2.5935
Tc Sr Re
2 1 1
direct
0.9659 0.9659 0.0000
0.7481 0.2481 0.5000
0.2499 0.7499 0.5000
0.5360 0.5360 0.0000
```

**Total DFT energy (no corrections)**: -31.46 eV/cell
**Distance to the lowest polymorph of the same formula**: 282 meV per atom
**ΔH_f (0 K)**: 851 meV/atom
**N(E_F)**: 0.940 states/eV/atom


(25)
VASP calculation (PBE-GGA) on a relaxed structure of Sr3ReTc.

Cell and atoms, written as POSCAR:
```
Sr3ReTc
1.0
-2.8417 4.9375 0.4018
-1.8062 -1.4641 5.2163
4.6128 2.4684 2.2901
Tc Re Sr
1 1 3
direct
0.5000 0.5000 0.5000
0.0000 0.0000 0.0000
0.5000 0.0000 0.0000
0.0000 0.0000 0.5000
0.0000 0.5000 0.0000
```

**Total DFT energy (no corrections)**: -20.08 eV/cell
**Distance to the lowest polymorph of the same formula**: 0 meV per atom
**ΔH_f (0 K)**: 1556 meV/atom
**N(E_F)**: 1.220 states/eV/atom


(26)
VASP calculation (PBE-GGA) on a relaxed structure of SrReTc2.

Cell and atoms, written as POSCAR:
```
SrReTc2
1.0
-4.0625 0.2701 -0.4127
-0.1976 -2.9183 0.0358
-0.7691 -1.4392 6.6295
Sr Re Tc
1 1 2
direct
0.5000 0.7500 0.7500
0.5000 0.2500 0.2500
0.0000 0.0255 0.0764
0.0000 0.4745 0.4236
```

**Total DFT energy (no corrections)**: -32.19 eV/cell
**Distance to the lowest polymorph of the same formula**: 99 meV per atom
**ΔH_f (0 K)**: 668 meV/atom
**N(E_F)**: 1.014 states/eV/atom


(27)
VASP calculation (PBE-GGA) on a relaxed structure of SrReTc.

Cell and atoms, written as POSCAR:
```
SrReTc
1.0
4.7390 0.0000 0.0000
2.3695 4.1041 0.0000
2.3695 1.3680 3.8694
Sr Re Tc
1 1 1
direct
0.7500 0.7500 0.7500
0.5000 0.5000 0.5000
0.0000 0.0000 0.0000
```

**Total DFT energy (no corrections)**: -16.11 eV/cell
**Distance to the lowest polymorph of the same formula**: 2258 meV per atom
**ΔH_f (0 K)**: 2794 meV/atom
**N(E_F)**: 1.900 states/eV/atom


(28)
VASP calculation (PBE-GGA) on a relaxed structure of SrTiRe2Tc.

Cell and atoms, written as POSCAR:
```
SrTiRe2Tc
1.0
-4.4874 0.7368 -0.7590
-0.1339 -4.0142 -3.1049
-1.0508 -2.7245 3.5677
Sr Ti Tc Re
1 1 1 2
direct
0.0000 0.5000 0.0000
0.0000 0.0000 0.0000
0.5000 0.5000 0.5000
0.0000 0.0000 0.5000
0.5000 0.0000 0.0000
```

**Total DFT energy (no corrections)**: -34.71 eV/cell
**ΔH_f (0 K)**: 2025 meV/atom
**N(E_F)**: 1.278 states/eV/atom


(29)
VASP calculation (PBE-GGA) on a relaxed structure of SrReTcW2.

Cell and atoms, written as POSCAR:
```
SrReTcW2
1.0
4.7436 0.0000 0.0000
0.0000 5.0928 0.0000
0.0000 0.0000 4.7436
W Tc Re Sr
2 1 1 1
direct
0.5000 0.0000 0.0000
0.0000 0.0000 0.5000
0.0000 0.0000 0.0000
0.5000 0.5000 0.5000
0.0000 0.5000 0.0000
```

**Total DFT energy (no corrections)**: -38.83 eV/cell
**ΔH_f (0 K)**: 2314 meV/atom
**N(E_F)**: 1.500 states/eV/atom


(30)
VASP calculation (PBE-GGA) on a relaxed structure of SrReTe3.

Cell and atoms, written as POSCAR:
```
SrReTe3
1.0
6.1247 0.0000 0.0000
0.0000 6.1247 0.0000
0.0000 0.0000 6.1247
Sr Te Re
1 3 1
direct
0.0000 0.0000 0.0000
0.0000 0.5000 0.0000
0.5000 0.0000 0.0000
0.0000 0.0000 0.5000
0.5000 0.5000 0.5000
```

**Total DFT energy (no corrections)**: -16.67 eV/cell
**Distance to the lowest polymorph of the same formula**: 1387 meV per atom
**N(E_F)**: 1.104 states/eV/atom
**Energy relative to the elements, uncorrected**: 1.3761 eV per atom